(1)
This record from Alexandria via LeMat-Bulk describes an optimized crystal structure of ZnHg2P. The functional is GGA-PBE.

Results
**Energy above the most stable polymorph in this dataset**: 0.3469 eV/atom
**Energy of formation**: 0.39 eV/atom

Lattice parameters (Å, degrees): 3.856 3.981 5.457 90.00 90.00 90.00
Atoms (fractional coordinates):
Hg 0.500 0.000 0.500
P 0.500 0.500 0.000
Hg 0.000 0.000 0.000
Zn 0.000 0.500 0.500


(2)
This record from Alexandria via LeMat-Bulk describes an optimized crystal structure of Zn2HgP. The functional is GGA-PBE.

Results
**Energy of formation**: 0.30 eV/atom

Lattice parameters (Å, degrees): 5.007 5.007 2.854 90.00 90.00 95.59
Atoms (fractional coordinates):
Zn 0.000 0.500 0.000
P 0.500 0.500 0.500
Zn 0.500 0.000 0.000
Hg 0.000 0.000 0.500


Calculated volume, record by record: 20.9 17.8 Å³ per atom